## ZrCdPt2 (meta-GGA SCAN)

Data for ZrCdPt2 at its PBEsol-relaxed geometry.

Geometry as POSCAR:
```
ZrCdPt2
1.0
2.958 0.000 0.000
0.000 3.525 0.000
0.000 0.000 6.715
Pt Cd Zr
2 1 1
Cartesian
0.000 0.000 5.091 Pt
0.000 0.000 1.624 Pt
1.479 1.763 3.357 Cd
1.479 1.763 0.000 Zr
```

space-group type: Pmmm
formation enthalpy at 0 K: -0.869 eV per atom
E_tot: -51.244 eV per atom
magnetization: 0.00 μB per formula unit
crystal system: orthorhombic